Crystalline LaGa2SbO8 at its relaxed geometry, computed with PBE-GGA.

VASP energy: -73.34 eV/cell
formation energy from raw total energies: -1548 meV per atom
N(E_F): 7.95 states/eV per cell
theoretical density: 5.481 g/cm³

extended XYZ file:
```
12
Lattice="-3.433 3.433 3.393 3.433 -3.433 3.393 3.433 3.433 -3.393" Properties=species:S:1:pos:R:3 pbc="T T T"
La 0.000 0.000 0.000
Ga 3.433 0.000 1.697
Ga 0.000 0.000 3.393
Sb 0.000 3.433 1.697
O 2.299 0.000 0.258
O 4.567 0.000 0.258
O 3.433 2.043 -1.283
O 3.433 -1.134 3.135
O 0.000 1.390 2.110
O 3.433 1.134 3.135
O 2.043 3.433 1.283
O 1.390 0.000 4.676
```